Record 1
ZnCo2Rh2 after structural relaxation, computed with PBE.

abc: 3.2238 3.2238 13.4578
angles: 90.00 90.00 90.00
Fractional coordinates of all 10 atoms:
Zn (0.0000, 0.0000, 0.0000)
Zn (0.5000, 0.5000, 0.5000)
Co (0.0000, 0.5000, 0.2500)
Co (0.0000, 0.5000, 0.7500)
Co (0.5000, 0.0000, 0.2500)
Co (0.5000, 0.0000, 0.7500)
Rh (0.0000, 0.0000, 0.3979)
Rh (0.0000, 0.0000, 0.6021)
Rh (0.5000, 0.5000, 0.1021)
Rh (0.5000, 0.5000, 0.8979)

Results
distance to the lowest polymorph of the same formula	0.058	eV/atom
E	-58.63	eV for the cell shown
formation energy from the elements	174	meV/atom

***

Record 2
Co2SnMo2 after structural relaxation, computed with PBE.

abc: 6.6575 6.6575 3.3135
angles: 90.00 90.00 90.00
Fractional coordinates of all 10 atoms:
Co (0.1249, 0.3751, 0.0000)
Co (0.3751, 0.8751, 0.0000)
Co (0.6249, 0.1249, 0.0000)
Co (0.8751, 0.6249, 0.0000)
Sn (0.0000, 0.0000, 0.0000)
Sn (0.5000, 0.5000, 0.0000)
Mo (0.1661, 0.6661, 0.5000)
Mo (0.3339, 0.1661, 0.5000)
Mo (0.6661, 0.8339, 0.5000)
Mo (0.8339, 0.3339, 0.5000)

Results
E	-77.51	eV for the cell shown
formation energy from the elements	224	meV/atom

***

Record 3
KNbInFeCu after structural relaxation, computed with PBE.

abc: 16.6154 4.3672 3.2296
angles: 90.00 100.34 90.00
Fractional coordinates of all 10 atoms:
K (0.0000, 0.0000, 0.0000)
K (0.5000, 0.5000, 0.0000)
Nb (0.3076, 0.0000, 0.7827)
Nb (0.8076, 0.5000, 0.7827)
In (0.1652, 0.5000, 0.6524)
In (0.6652, 0.0000, 0.6524)
Fe (0.2066, 0.0000, 0.1905)
Fe (0.7066, 0.5000, 0.1905)
Cu (0.3063, 0.5000, 0.2829)
Cu (0.8063, 0.0000, 0.2829)

Results
distance to the lowest polymorph of the same formula	0.000	eV/atom
E	-49.75	eV for the cell shown
formation energy from the elements	318	meV/atom

***

Record 4
Li2GaPd after structural relaxation, computed with PBE.

abc: 6.0971 6.0971 6.0971
angles: 90.00 90.00 90.00
Fractional coordinates of all 16 atoms:
Li (0.0000, 0.0000, 0.0000)
Li (0.0000, 0.5000, 0.5000)
Li (0.2500, 0.2500, 0.2500)
Li (0.2500, 0.7500, 0.7500)
Li (0.5000, 0.0000, 0.5000)
Li (0.5000, 0.5000, 0.0000)
Li (0.7500, 0.2500, 0.7500)
Li (0.7500, 0.7500, 0.2500)
Ga (0.0000, 0.0000, 0.5000)
Ga (0.0000, 0.5000, 0.0000)
Ga (0.5000, 0.0000, 0.0000)
Ga (0.5000, 0.5000, 0.5000)
Pd (0.2500, 0.2500, 0.7500)
Pd (0.2500, 0.7500, 0.2500)
Pd (0.7500, 0.2500, 0.2500)
Pd (0.7500, 0.7500, 0.7500)

Results
E	-56.97	eV for the cell shown
formation energy from the elements	-548	meV/atom